Entry 1:
PBE Zr2MnCo, relaxed; energy relative to the elements = 0.016 eV/atom; raw total energy = -0.6120 Ry/atom
1.0
3.758 0.000 0.000
-1.879 3.254 0.000
0.000 0.000 17.896
Zr Mn Co
6 3 3
direct
0.000 0.000 0.000 Zr
0.000 0.000 0.195 Zr
0.333 0.667 0.667 Zr
0.333 0.667 0.862 Zr
0.667 0.333 0.333 Zr
0.667 0.333 0.529 Zr
0.000 0.000 0.766 Mn
0.333 0.667 0.433 Mn
0.667 0.333 0.099 Mn
0.000 0.000 0.430 Co
0.333 0.667 0.097 Co
0.667 0.333 0.763 Co

---

Entry 2:
PBE Ba2VPd, relaxed; energy relative to the elements = 0.355 eV/atom; raw total energy = -0.3076 Ry/atom
1.0
8.028 0.000 0.000
0.000 8.028 0.000
0.000 0.000 8.028
Ba V Pd
8 4 4
direct
0.250 0.250 0.250 Ba
0.250 0.250 0.750 Ba
0.250 0.750 0.250 Ba
0.250 0.750 0.750 Ba
0.750 0.250 0.250 Ba
0.750 0.250 0.750 Ba
0.750 0.750 0.250 Ba
0.750 0.750 0.750 Ba
0.000 0.000 0.000 V
0.000 0.500 0.500 V
0.500 0.000 0.500 V
0.500 0.500 0.000 V
0.000 0.000 0.500 Pd
0.000 0.500 0.000 Pd
0.500 0.000 0.000 Pd
0.500 0.500 0.500 Pd

---

Entry 3:
PBE PmEuPd, relaxed; energy relative to the elements = -0.307 eV/atom; raw total energy = -0.5179 Ry/atom
1.0
4.783 0.000 0.000
-2.391 4.142 0.000
0.000 0.000 4.305
Pm Eu Pd
1 1 1
direct
0.000 0.000 0.000 Pm
0.333 0.667 0.540 Eu
0.667 0.333 0.229 Pd

---

Entry 4:
PBE BeAsCl2, relaxed; raw total energy = -0.1882 Ry/atom; ΔE_f (raw) = 0.4569 eV per atom
1.0
3.614 0.000 0.000
0.000 3.614 0.000
0.000 0.000 12.617
Be As Cl
2 2 4
direct
0.000 0.000 0.000 Be
0.500 0.500 0.500 Be
0.000 0.500 0.250 As
0.500 0.000 0.750 As
0.000 0.000 0.500 Cl
0.000 0.500 0.750 Cl
0.500 0.000 0.250 Cl
0.500 0.500 0.000 Cl

---

Entry 5:
PBE Li2Zn2S, relaxed; raw total energy = -0.1716 Ry/atom; ΔE_f (raw) = -0.2342 eV per atom
1.0
6.606 0.000 0.000
0.000 6.606 0.000
0.000 0.000 3.901
Li Zn S
4 4 2
direct
0.167 0.333 0.000 Li
0.333 0.833 0.000 Li
0.667 0.167 0.000 Li
0.833 0.667 0.000 Li
0.131 0.631 0.500 Zn
0.369 0.131 0.500 Zn
0.631 0.869 0.500 Zn
0.869 0.369 0.500 Zn
0.000 0.000 0.500 S
0.500 0.500 0.500 S

---

Entry 6:
PBE NbCdGa, relaxed; energy relative to the elements = 0.129 eV/atom; raw total energy = -0.3338 Ry/atom
1.0
0.000 4.891 5.259
2.682 0.000 5.259
2.682 4.891 0.000
Nb Cd Ga
2 2 2
direct
0.250 0.250 0.250 Nb
0.750 0.750 0.750 Nb
0.203 0.797 0.203 Cd
0.797 0.203 0.797 Cd
0.248 0.248 0.752 Ga
0.752 0.752 0.248 Ga

---

Entry 7:
PBE CrCoN2, relaxed; raw total energy = -0.6293 Ry/atom; ΔE_f (raw) = -0.2173 eV per atom
1.0
3.056 0.000 0.000
-1.528 2.646 0.000
0.000 0.000 14.910
Cr Co N
3 3 6
direct
0.000 0.000 0.000 Cr
0.333 0.667 0.667 Cr
0.667 0.333 0.333 Cr
0.000 0.000 0.507 Co
0.333 0.667 0.174 Co
0.667 0.333 0.841 Co
0.000 0.000 0.378 N
0.000 0.000 0.878 N
0.333 0.667 0.044 N
0.333 0.667 0.545 N
0.667 0.333 0.211 N
0.667 0.333 0.711 N

---

Entry 8:
PBE Tb12PrHo7, relaxed; energy relative to the elements = 0.696 eV/atom; raw total energy = -0.2883 Ry/atom
1.0
-5.655 5.655 5.655
5.655 -5.655 5.655
5.655 5.655 -5.655
Tb Pr Ho
12 1 7
direct
0.000 0.256 0.744 Tb
0.000 0.744 0.256 Tb
0.256 0.000 0.744 Tb
0.256 0.256 0.512 Tb
0.256 0.512 0.256 Tb
0.256 0.744 0.000 Tb
0.488 0.744 0.744 Tb
0.512 0.256 0.256 Tb
0.744 0.000 0.256 Tb
0.744 0.256 0.000 Tb
0.744 0.488 0.744 Tb
0.744 0.744 0.488 Tb
0.000 0.000 0.000 Pr
0.000 0.000 0.500 Ho
0.000 0.500 0.000 Ho
0.000 0.500 0.500 Ho
0.500 0.000 0.000 Ho
0.500 0.000 0.500 Ho
0.500 0.500 0.000 Ho
0.500 0.500 0.500 Ho

---

Entry 9:
PBE V4B2Pd, relaxed; energy relative to the elements = 0.958 eV/atom; raw total energy = -0.5073 Ry/atom
1.0
4.502 0.000 0.000
0.000 4.502 0.000
0.000 0.000 10.508
V B Pd
8 4 2
direct
0.000 0.000 0.239 V
0.000 0.000 0.761 V
0.000 0.500 0.000 V
0.000 0.500 0.500 V
0.500 0.000 0.000 V
0.500 0.000 0.500 V
0.500 0.500 0.261 V
0.500 0.500 0.739 V
0.000 0.000 0.425 B
0.000 0.000 0.575 B
0.500 0.500 0.075 B
0.500 0.500 0.925 B
0.000 0.000 0.000 Pd
0.500 0.500 0.500 Pd

---

Entry 10:
PBE Ho2InSn3, relaxed; energy relative to the elements = -0.543 eV/atom; raw total energy = -0.3327 Ry/atom
1.0
4.369 0.000 0.000
0.000 15.277 0.000
0.000 0.000 4.620
Ho In Sn
4 2 6
direct
0.000 0.150 0.000 Ho
0.000 0.850 0.000 Ho
0.500 0.350 0.000 Ho
0.500 0.650 0.000 Ho
0.000 0.000 0.500 In
0.500 0.500 0.500 In
0.000 0.322 0.500 Sn
0.000 0.500 0.000 Sn
0.000 0.678 0.500 Sn
0.500 0.000 0.000 Sn
0.500 0.178 0.500 Sn
0.500 0.822 0.500 Sn

---

Entry 11:
PBE Hf2CrPd2, relaxed; energy relative to the elements = 0.013 eV/atom; raw total energy = -0.5858 Ry/atom
1.0
5.006 0.000 0.000
0.000 5.006 0.000
0.000 0.000 8.187
Hf Cr Pd
4 2 4
direct
0.000 0.500 0.250 Hf
0.000 0.500 0.750 Hf
0.500 0.000 0.250 Hf
0.500 0.000 0.750 Hf
0.000 0.000 0.000 Cr
0.500 0.500 0.500 Cr
0.000 0.000 0.351 Pd
0.000 0.000 0.649 Pd
0.500 0.500 0.149 Pd
0.500 0.500 0.851 Pd

---

Entry 12:
PBE Zn2Sn2Pd, relaxed; energy relative to the elements = -0.046 eV/atom; raw total energy = -0.2349 Ry/atom
1.0
6.853 0.000 0.000
0.000 6.853 0.000
0.000 0.000 4.220
Zn Sn Pd
4 4 2
direct
0.134 0.366 0.000 Zn
0.366 0.866 0.000 Zn
0.634 0.134 0.000 Zn
0.866 0.634 0.000 Zn
0.177 0.677 0.500 Sn
0.323 0.177 0.500 Sn
0.677 0.823 0.500 Sn
0.823 0.323 0.500 Sn
0.000 0.000 0.000 Pd
0.500 0.500 0.000 Pd

---

Entry 13:
PBE MgBRuRh2, relaxed; energy relative to the elements = -0.237 eV/atom; raw total energy = -0.4915 Ry/atom
1.0
4.099 0.000 0.000
0.000 4.099 0.000
0.000 0.000 4.127
Mg B Ru Rh
1 1 1 2
direct
0.000 0.000 0.000 Mg
0.500 0.500 0.500 B
0.500 0.500 0.000 Ru
0.000 0.500 0.500 Rh
0.500 0.000 0.500 Rh

---

Entry 14:
PBE CaGdY, relaxed; energy relative to the elements = 0.061 eV/atom; raw total energy = -0.5479 Ry/atom
1.0
3.685 0.000 0.000
0.000 3.685 0.000
0.000 0.000 15.517
Ca Gd Y
2 2 2
direct
0.000 0.000 0.000 Ca
0.500 0.500 0.500 Ca
0.000 0.000 0.322 Gd
0.500 0.500 0.822 Gd
0.000 0.000 0.674 Y
0.500 0.500 0.174 Y

---

Entry 15:
PBE RbYBi3, relaxed; energy relative to the elements = 0.961 eV/atom; raw total energy = -0.2098 Ry/atom
1.0
5.913 0.000 0.000
0.000 5.913 0.000
0.000 0.000 5.913
Rb Y Bi
1 1 3
direct
0.000 0.000 0.000 Rb
0.500 0.500 0.500 Y
0.000 0.000 0.500 Bi
0.000 0.500 0.000 Bi
0.500 0.000 0.000 Bi

---

Entry 16:
PBE GdScGaPd, relaxed; energy relative to the elements = -0.676 eV/atom; raw total energy = -0.5758 Ry/atom
1.0
6.946 0.000 0.000
0.000 6.946 0.000
0.000 0.000 6.946
Gd Sc Ga Pd
4 4 4 4
direct
0.000 0.000 0.000 Gd
0.000 0.500 0.500 Gd
0.500 0.000 0.500 Gd
0.500 0.500 0.000 Gd
0.000 0.000 0.500 Sc
0.000 0.500 0.000 Sc
0.500 0.000 0.000 Sc
0.500 0.500 0.500 Sc
0.250 0.250 0.750 Ga
0.250 0.750 0.250 Ga
0.750 0.250 0.250 Ga
0.750 0.750 0.750 Ga
0.250 0.250 0.250 Pd
0.250 0.750 0.750 Pd
0.750 0.250 0.750 Pd
0.750 0.750 0.250 Pd

---

Entry 17:
PBE Bi2Pb3, relaxed; energy relative to the elements = 0.086 eV/atom; raw total energy = -0.2713 Ry/atom
1.0
4.262 2.461 5.737
-4.262 2.461 5.737
0.000 -4.922 5.737
Bi Pb
4 6
direct
0.102 0.102 0.102 Bi
0.398 0.398 0.398 Bi
0.602 0.602 0.602 Bi
0.898 0.898 0.898 Bi
0.003 0.250 0.497 Pb
0.250 0.497 0.003 Pb
0.497 0.003 0.250 Pb
0.503 0.997 0.750 Pb
0.750 0.503 0.997 Pb
0.997 0.750 0.503 Pb

---

Entry 18:
PBE LiCa2AuSe, relaxed; raw total energy = -0.2051 Ry/atom; ΔE_f (raw) = -0.2550 eV per atom
1.0
5.677 0.000 0.000
0.000 5.677 0.000
0.000 0.000 5.260
Li Ca Au Se
1 2 1 1
direct
0.000 0.000 0.000 Li
0.000 0.500 0.500 Ca
0.500 0.000 0.500 Ca
0.500 0.500 0.500 Au
0.500 0.500 0.000 Se

---

Entry 19:
PBE SrTcW2, relaxed; energy relative to the elements = 0.679 eV/atom; raw total energy = -0.6475 Ry/atom
1.0
3.180 0.000 0.000
0.000 3.180 0.000
0.000 0.000 7.986
Sr Tc W
1 1 2
direct
0.000 0.000 0.000 Sr
0.500 0.500 0.310 Tc
0.000 0.000 0.485 W
0.500 0.500 0.677 W

---

Entry 20:
PBE AlZn, relaxed; energy relative to the elements = 0.187 eV/atom; raw total energy = -0.1706 Ry/atom
1.0
4.067 0.000 0.000
-2.034 3.522 0.000
0.000 0.000 5.202
Al Zn
2 2
direct
0.000 0.000 0.000 Al
0.000 0.000 0.500 Al
0.333 0.667 0.250 Zn
0.667 0.333 0.750 Zn

---

| no. | Fermi-level density of states (states/eV per cell) |
| --- | --- |
| 1 | 13.30 |
| 2 | 13.60 |
| 3 | 2.51 |
| 4 | 3.67 |
| 5 | 2.02 |
| 6 | 3.45 |
| 7 | 7.50 |
| 8 | 24.04 |
| 9 | 16.14 |
| 10 | 4.88 |
| 11 | 3.36 |
| 12 | 3.76 |
| 13 | 6.08 |
| 14 | 9.38 |
| 15 | 4.92 |
| 16 | 11.90 |
| 17 | 5.79 |
| 18 | 2.85 |
| 19 | 6.40 |
| 20 | 1.84 |